This record from Alexandria via LeMat-Bulk describes a relaxed TbMgGa crystal. The functional is PBE-GGA.

Lattice parameters (Å, degrees): 7.2938 7.2938 4.4579 90.00 90.00 120.00
Space group P-62m (No. 189)
Inequivalent atoms, fractional coordinates:
Tb 0.0000 0.5743 0.0000 [3 per cell]
Mg 0.0000 0.2436 0.5000 [3 per cell]
Ga 0.0000 0.0000 0.0000 [1 per cell]
Ga 0.3333 0.6667 0.5000 [2 per cell]

Results
Total energy (eV/atom): -3.58